[1]
The following is a DFT calculation (GGA+U) of crystalline LiMoP2O8 at its relaxed geometry.

Structure (CIF):
```
data_LiMoP2O8
_chemical_formula_sum 'Li4 Mo4 P8 O32'
_cell_length_a 5.023
_cell_length_b 17.106
_cell_length_c 8.432
_cell_angle_alpha 90.00
_cell_angle_beta 116.49
_cell_angle_gamma 90.00
_space_group_name_H-M_alt 'P 1'
_space_group_IT_number 1
_space_group_name_Hall 'P 1'
loop_
_atom_site_label
_atom_site_fract_x
_atom_site_fract_y
_atom_site_fract_z
Li1 0.154 0.086 0.451
Li2 0.154 0.414 0.951
Li3 0.846 0.586 0.049
Li4 0.846 0.914 0.549
Mo1 0.275 0.635 0.485
Mo2 0.275 0.865 0.985
Mo3 0.725 0.135 0.015
Mo4 0.725 0.365 0.515
P1 0.064 0.044 0.798
P2 0.064 0.456 0.298
P3 0.405 0.202 0.269
P4 0.405 0.298 0.769
P5 0.595 0.702 0.231
P6 0.595 0.798 0.731
P7 0.936 0.544 0.702
P8 0.936 0.956 0.202
O1 0.014 0.066 0.616
O2 0.014 0.434 0.116
O3 0.042 0.547 0.311
O4 0.042 0.953 0.811
O5 0.097 0.201 0.097
O6 0.097 0.299 0.597
O7 0.186 0.579 0.657
O8 0.186 0.921 0.157
O9 0.355 0.682 0.300
O10 0.355 0.818 0.800
O11 0.361 0.071 0.953
O12 0.361 0.429 0.453
O13 0.422 0.150 0.414
O14 0.422 0.350 0.914
O15 0.473 0.211 0.829
O16 0.473 0.289 0.329
O17 0.527 0.711 0.671
O18 0.527 0.789 0.171
O19 0.578 0.650 0.086
O20 0.578 0.850 0.586
O21 0.639 0.571 0.547
O22 0.639 0.929 0.047
O23 0.645 0.182 0.200
O24 0.645 0.318 0.700
O25 0.814 0.079 0.843
O26 0.814 0.421 0.343
O27 0.903 0.701 0.403
O28 0.903 0.799 0.903
O29 0.958 0.047 0.189
O30 0.958 0.453 0.689
O31 0.986 0.566 0.884
O32 0.986 0.934 0.384
```

Calculated values
Space-group type ... P2_1/c (14)
Uncorrected energy ... -0.2570 Ha/atom

[2]
The following is a DFT calculation (GGA+U) of crystalline LiMoP2O8 at its relaxed geometry.

Structure (CIF):
```
data_LiMoP2O8
_chemical_formula_sum 'Li1 Mo1 P2 O8'
_cell_length_a 4.979
_cell_length_b 4.979
_cell_length_c 8.715
_cell_angle_alpha 90.00
_cell_angle_beta 90.00
_cell_angle_gamma 120.00
_space_group_name_H-M_alt 'P 1'
_space_group_IT_number 1
_space_group_name_Hall 'P 1'
loop_
_atom_site_label
_atom_site_fract_x
_atom_site_fract_y
_atom_site_fract_z
Li1 0.000 0.000 0.000
Mo1 0.667 0.333 0.422
P1 0.000 0.000 0.623
P2 0.333 0.667 0.219
O1 0.000 0.000 0.793
O2 0.019 0.617 0.286
O3 0.313 0.055 0.554
O4 0.333 0.667 0.047
O5 0.383 0.402 0.286
O6 0.598 0.981 0.286
O7 0.741 0.687 0.554
O8 0.945 0.259 0.554
```

Calculated values
Space-group type ... P3 (143)
Uncorrected energy ... -0.2545 Ha/atom

[3]
The following is a DFT calculation (GGA+U) of crystalline Li2Mo2P2O11 at its relaxed geometry.

Structure (CIF):
```
data_Li2Mo2P2O11
_chemical_formula_sum 'Li2 Mo2 P2 O11'
_cell_length_a 5.178
_cell_length_b 6.412
_cell_length_c 8.453
_cell_angle_alpha 85.92
_cell_angle_beta 72.97
_cell_angle_gamma 87.46
_space_group_name_H-M_alt 'P 1'
_space_group_IT_number 1
_space_group_name_Hall 'P 1'
loop_
_atom_site_label
_atom_site_fract_x
_atom_site_fract_y
_atom_site_fract_z
Li1 0.000 0.000 0.000
Li2 0.225 0.604 0.800
Mo1 0.495 0.967 0.590
Mo2 0.601 0.501 0.068
P1 0.463 0.995 0.176
P2 0.647 0.464 0.475
O1 0.183 0.006 0.161
O2 0.266 0.929 0.792
O3 0.296 0.521 0.020
O4 0.457 0.270 0.575
O5 0.462 0.652 0.574
O6 0.478 0.980 0.356
O7 0.554 0.480 0.305
O8 0.643 0.185 0.081
O9 0.648 0.811 0.083
O10 0.820 0.950 0.603
O11 0.863 0.509 0.883
```

Calculated values
Space-group type ... P1 (1)
Uncorrected energy ... -0.2474 Ha/atom